(1)
# PuP3Ru5 (GGA-PBE, relaxed)
data_PuP3Ru5
_cell_length_a 3.8911
_cell_length_b 12.1996
_cell_length_c 11.9115
_cell_angle_alpha 90.00
_cell_angle_beta 90.00
_cell_angle_gamma 90.00
_symmetry_space_group_name_H-M 'C m c m'
_symmetry_Int_Tables_number 63
_symmetry_space_group_name_Hall '-C 2c 2'
loop_
_atom_site_label
_atom_site_type_symbol
_atom_site_fract_x
_atom_site_fract_y
_atom_site_fract_z
Pu1 Pu 0.0000 0.1603 0.2500
P1 P 0.0000 0.1314 0.7500
P2 P 0.0000 0.3875 0.5483
Ru1 Ru 0.0000 0.0000 0.0000
Ru2 Ru 0.0000 0.2064 0.5733
Ru3 Ru 0.0000 0.4415 0.1460
# Volume ... 565 Å³/cell
# Calculated formation energy ... -0.469 eV per atom
# E ... -9.018 eV/atom
# Crystal system ... orthorhombic

(2)
# Li2TbNd2Ge2 (GGA-PBE, relaxed)
data_Li2TbNd2Ge2
_cell_length_a 4.4597
_cell_length_b 4.4597
_cell_length_c 28.7976
_cell_angle_alpha 90.00
_cell_angle_beta 90.00
_cell_angle_gamma 120.00
_symmetry_space_group_name_H-M 'R -3 m'
_symmetry_Int_Tables_number 166
_symmetry_space_group_name_Hall '-R 3 2"'
loop_
_atom_site_label
_atom_site_type_symbol
_atom_site_fract_x
_atom_site_fract_y
_atom_site_fract_z
Li1 Li 0.0000 0.0000 0.1095
Tb1 Tb 0.0000 0.0000 0.5000
Nd1 Nd 0.0000 0.0000 0.3765
Ge1 Ge 0.0000 0.0000 0.2291
# Volume ... 496 Å³/cell
# Calculated formation energy ... -0.489 eV per atom
# E ... -4.378 eV/atom
# Crystal system ... trigonal

(3)
# Ba2ZnNi3 (GGA-PBE, relaxed)
data_Ba2ZnNi3
_cell_length_a 11.9125
_cell_length_b 6.6196
_cell_length_c 7.7186
_cell_angle_alpha 90.00
_cell_angle_beta 109.22
_cell_angle_gamma 90.00
_symmetry_space_group_name_H-M 'C 1 2/c 1'
_symmetry_Int_Tables_number 15
_symmetry_space_group_name_Hall '-C 2yc'
loop_
_atom_site_label
_atom_site_type_symbol
_atom_site_fract_x
_atom_site_fract_y
_atom_site_fract_z
Ba1 Ba 0.1762 0.0062 0.0860
Zn1 Zn 0.0000 0.3152 0.2500
Ni1 Ni 0.0000 0.3318 0.7500
Ni2 Ni 0.1008 0.4920 0.5513
# Volume ... 575 Å³/cell
# Calculated formation energy ... 0.073 eV per atom
# E ... -3.671 eV/atom
# Crystal system ... monoclinic

(4)
# Pa2GaIr (GGA-PBE, relaxed)
data_Pa2GaIr
_cell_length_a 5.8508
_cell_length_b 3.9256
_cell_length_c 8.2095
_cell_angle_alpha 90.00
_cell_angle_beta 107.55
_cell_angle_gamma 90.00
_symmetry_space_group_name_H-M 'P 1 21/m 1'
_symmetry_Int_Tables_number 11
_symmetry_space_group_name_Hall '-P 2yb'
loop_
_atom_site_label
_atom_site_type_symbol
_atom_site_fract_x
_atom_site_fract_y
_atom_site_fract_z
Pa1 Pa 0.1890 0.2500 0.4081
Pa2 Pa 0.2806 0.7500 0.0604
Ga1 Ga 0.3647 0.7500 0.7021
Ir1 Ir 0.1092 0.2500 0.8026
# Volume ... 180 Å³/cell
# Calculated formation energy ... -0.541 eV per atom
# E ... -8.261 eV/atom
# Crystal system ... monoclinic

(5)
# Y2Ga2As (GGA-PBE, relaxed)
data_Y2Ga2As
_cell_length_a 7.2244
_cell_length_b 7.2244
_cell_length_c 4.2855
_cell_angle_alpha 90.00
_cell_angle_beta 90.00
_cell_angle_gamma 90.00
_symmetry_space_group_name_H-M 'P 4/m b m'
_symmetry_Int_Tables_number 127
_symmetry_space_group_name_Hall '-P 4 2ab'
loop_
_atom_site_label
_atom_site_type_symbol
_atom_site_fract_x
_atom_site_fract_y
_atom_site_fract_z
Y1 Y 0.1731 0.3269 0.0000
Ga1 Ga 0.1260 0.6260 0.5000
As1 As 0.0000 0.0000 0.5000
# Volume ... 224 Å³/cell
# Calculated formation energy ... -0.661 eV per atom
# E ... -5.387 eV/atom
# Crystal system ... tetragonal

(6)
# LiDy2O2F2 (GGA-PBE, relaxed)
data_LiDy2O2F2
_cell_length_a 3.9487
_cell_length_b 3.9487
_cell_length_c 19.0078
_cell_angle_alpha 90.00
_cell_angle_beta 90.00
_cell_angle_gamma 120.00
_symmetry_space_group_name_H-M 'R -3 m'
_symmetry_Int_Tables_number 166
_symmetry_space_group_name_Hall '-R 3 2"'
loop_
_atom_site_label
_atom_site_type_symbol
_atom_site_fract_x
_atom_site_fract_y
_atom_site_fract_z
Li1 Li 0.0000 0.0000 0.0000
Dy1 Dy 0.0000 0.0000 0.2318
O1 O 0.0000 0.0000 0.1074
F1 F 0.0000 0.0000 0.3613
# Raw formation energy ... -3.13 eV/atom
# Volume ... 257 Å³/cell
# E ... -6.668 eV/atom
# Crystal system ... trigonal

(7)
# Pm3Pr4PuTe8 (GGA-PBE, relaxed)
data_Pm3Pr4PuTe8
_cell_length_a 8.9780
_cell_length_b 8.9780
_cell_length_c 22.0863
_cell_angle_alpha 90.00
_cell_angle_beta 90.00
_cell_angle_gamma 120.00
_symmetry_space_group_name_H-M 'R -3 m'
_symmetry_Int_Tables_number 166
_symmetry_space_group_name_Hall '-R 3 2"'
loop_
_atom_site_label
_atom_site_type_symbol
_atom_site_fract_x
_atom_site_fract_y
_atom_site_fract_z
Pm1 Pm 0.0000 0.5000 0.0000
Pr1 Pr 0.0000 0.0000 0.5000
Pr2 Pr 0.0000 0.5000 0.5000
Pu1 Pu 0.0000 0.0000 0.0000
Te1 Te 0.0000 0.0000 0.2517
Te2 Te 0.0019 0.5010 0.7479
# Raw formation energy ... -1.39 eV/atom
# Volume ... 1542 Å³/cell
# E ... -5.944 eV/atom
# Crystal system ... trigonal

(8)
# Zn2CrNi8 (GGA-PBE, relaxed)
data_Zn2CrNi8
_cell_length_a 7.2487
_cell_length_b 9.5910
_cell_length_c 3.7920
_cell_angle_alpha 90.00
_cell_angle_beta 90.00
_cell_angle_gamma 90.00
_symmetry_space_group_name_H-M 'C m m m'
_symmetry_Int_Tables_number 65
_symmetry_space_group_name_Hall '-C 2 2'
loop_
_atom_site_label
_atom_site_type_symbol
_atom_site_fract_x
_atom_site_fract_y
_atom_site_fract_z
Zn1 Zn 0.0000 0.1247 0.0000
Cr1 Cr 0.0000 0.5000 0.5000
Ni1 Ni 0.0000 0.2610 0.5000
Ni2 Ni 0.1668 0.3710 0.0000
Ni3 Ni 0.1734 0.0000 0.5000
# Volume ... 264 Å³/cell
# Calculated formation energy ... 0.122 eV per atom
# E ... -5.189 eV/atom
# Crystal system ... orthorhombic

(9)
# ScBe2Hg2 (GGA-PBE, relaxed)
data_ScBe2Hg2
_cell_length_a 7.5538
_cell_length_b 7.5538
_cell_length_c 3.0142
_cell_angle_alpha 90.00
_cell_angle_beta 90.00
_cell_angle_gamma 90.00
_symmetry_space_group_name_H-M 'P 4/m b m'
_symmetry_Int_Tables_number 127
_symmetry_space_group_name_Hall '-P 4 2ab'
loop_
_atom_site_label
_atom_site_type_symbol
_atom_site_fract_x
_atom_site_fract_y
_atom_site_fract_z
Sc1 Sc 0.0000 0.0000 0.0000
Be1 Be 0.1698 0.3302 0.5000
Hg1 Hg 0.1361 0.6361 0.0000
# Volume ... 172 Å³/cell
# Calculated formation energy ... 0.300 eV per atom
# E ... -2.578 eV/atom
# Crystal system ... tetragonal

(10)
# GaFeAs2 (GGA-PBE, relaxed)
data_GaFeAs2
_cell_length_a 2.8218
_cell_length_b 2.8218
_cell_length_c 31.1150
_cell_angle_alpha 90.00
_cell_angle_beta 90.00
_cell_angle_gamma 120.00
_symmetry_space_group_name_H-M 'R -3 m'
_symmetry_Int_Tables_number 166
_symmetry_space_group_name_Hall '-R 3 2"'
loop_
_atom_site_label
_atom_site_type_symbol
_atom_site_fract_x
_atom_site_fract_y
_atom_site_fract_z
Ga1 Ga 0.0000 0.0000 0.0000
Fe1 Fe 0.0000 0.0000 0.5000
As1 As 0.0000 0.0000 0.4218
# Volume ... 215 Å³/cell
# Calculated formation energy ... 0.408 eV per atom
# E ... -4.789 eV/atom
# Crystal system ... trigonal

(11)
# CaCdBr2 (GGA-PBE, relaxed)
data_CaCdBr2
_cell_length_a 4.2274
_cell_length_b 4.2274
_cell_length_c 34.5775
_cell_angle_alpha 90.00
_cell_angle_beta 90.00
_cell_angle_gamma 120.00
_symmetry_space_group_name_H-M 'R -3 m'
_symmetry_Int_Tables_number 166
_symmetry_space_group_name_Hall '-R 3 2"'
loop_
_atom_site_label
_atom_site_type_symbol
_atom_site_fract_x
_atom_site_fract_y
_atom_site_fract_z
Ca1 Ca 0.0000 0.0000 0.0000
Cd1 Cd 0.0000 0.0000 0.5000
Br1 Br 0.0000 0.0000 0.3793
# Raw formation energy ... -1.37 eV/atom
# Volume ... 535 Å³/cell
# E ... -2.939 eV/atom
# Crystal system ... trigonal

(12)
# Mn3FeSn (GGA-PBE, relaxed)
data_Mn3FeSn
_cell_length_a 4.7169
_cell_length_b 4.7169
_cell_length_c 4.7169
_cell_angle_alpha 90.00
_cell_angle_beta 90.00
_cell_angle_gamma 90.00
_symmetry_space_group_name_H-M 'P m -3 m'
_symmetry_Int_Tables_number 221
_symmetry_space_group_name_Hall '-P 4 2 3'
loop_
_atom_site_label
_atom_site_type_symbol
_atom_site_fract_x
_atom_site_fract_y
_atom_site_fract_z
Mn1 Mn 0.0000 0.0000 0.5000
Fe1 Fe 0.0000 0.0000 0.0000
Sn1 Sn 0.5000 0.5000 0.5000
# Volume ... 105 Å³/cell
# Calculated formation energy ... 0.915 eV per atom
# E ... -7.079 eV/atom
# Crystal system ... cubic